Computed, not measured: an optimized crystal structure of Rb3Li2VF8 at the GGA+U level of DFT.

Energy ... -4.934 eV per atom
Theoretical density ... 3.34 g cm⁻³

Unit cell a=5.8498 b=5.8498 c=7.9287 alpha=90.00 beta=90.00 gamma=120.00
Atoms (fractional coordinates):
Rb 0.0000 0.0000 0.0000
Rb 0.3333 0.6667 0.7056
Rb 0.6667 0.3333 0.2944
Li 0.3333 0.6667 0.2569
Li 0.6667 0.3333 0.7431
V 0.0000 0.0000 0.5000
F 0.1587 0.3174 0.3538
F 0.1587 0.8413 0.3538
F 0.3174 0.1587 0.6462
F 0.3333 0.6667 0.0339
F 0.6667 0.3333 0.9661
F 0.6826 0.8413 0.3538
F 0.8413 0.1587 0.6462
F 0.8413 0.6826 0.6462